Density functional theory data (GGA-PBE) for Cs3NbCl6 after structural relaxation.

## Properties
N(E_F) ... 20.98 states/eV per cell
Formation energy without anion corrections ... -161 kJ per mole of atoms
M_tot ... 0.20 μB/atom
Energy relative to the lowest polymorph listed for this composition ... 0.003 eV/atom

abc: 13.6164 7.8904 8.3342
angles: 90.00 122.66 90.00
Space group C2/m (No. 12)
Asymmetric unit:
Cs  0.0000  0.0000  0.0000
Cs  0.2370  0.0000  0.7265
Nb  0.0000  0.5000  0.5000
Cl  0.0561  0.2756  0.3490
Cl  0.2041  0.5000  0.7936